Ag4ClF3: optimized geometry, PBE.

Unit cell a=10.1320 b=5.2189 c=5.2163 alpha=90.00 beta=90.00 gamma=90.00
Closest atoms and distances in Å follow each position.
Sites, in units of the cell vectors:
1 Ag 0.0000 0.2329 0.0000  4 F 2.53-2.61, 2 Cl 2.61
2 Ag 0.0000 0.7343 0.5016  4 F 2.54-2.63, 2 Cl 2.61
3 Ag 0.2346 0.2521 0.5010  5 F 2.38-2.61
4 Ag 0.2654 0.7479 0.0010  5 F 2.38-2.61
5 Ag 0.5000 0.2657 0.0016  4 F 2.54-2.63, 2 Cl 2.61
6 Ag 0.5000 0.7671 0.5000  4 F 2.53-2.61, 2 Cl 2.61
7 Ag 0.7346 0.7479 0.0010  5 F 2.38-2.61
8 Ag 0.7654 0.2521 0.5010  5 F 2.38-2.61
9 Cl 0.0000 0.7331 0.0015  6 Ag 2.61-2.69
10 Cl 0.5000 0.2669 0.5015  6 Ag 2.61-2.69
11 F 0.0000 0.2308 0.4997  6 Ag 2.38-2.63
12 F 0.2499 0.2479 0.0007  6 Ag 2.53-2.61
13 F 0.2501 0.7521 0.5007  6 Ag 2.53-2.61
14 F 0.5000 0.7692 0.9997  6 Ag 2.38-2.63
15 F 0.7501 0.2479 0.0007  6 Ag 2.53-2.61
16 F 0.7499 0.7521 0.5007  6 Ag 2.53-2.61

## Properties
**Total magnetization**: 0.0 μB/f.u.
**Uncorrected formation energy**: -0.8275 eV per atom

=====

Ag4Cl3F2: optimized geometry, PBE.

Unit cell a=7.4436 b=7.4436 c=6.6735 alpha=90.17 beta=90.17 gamma=78.18
Closest atoms and distances in Å follow each position.
Sites, in units of the cell vectors:
1 Ag 0.0495 0.7347 0.9903  2 F 2.30-2.45
2 Ag 0.2600 0.4522 0.4479  2 F 2.38-2.43, 2 Cl 2.60-2.61
3 Ag 0.2653 0.9505 0.5097  2 F 2.30-2.45
4 Ag 0.4522 0.2600 0.9479  2 F 2.38-2.43, 2 Cl 2.60-2.61
5 Ag 0.5478 0.7400 0.0521  2 F 2.38-2.43, 2 Cl 2.60-2.61
6 Ag 0.7347 0.0495 0.4903  2 F 2.30-2.45
7 Ag 0.7400 0.5478 0.5521  2 F 2.38-2.43, 2 Cl 2.60-2.61
8 Ag 0.9505 0.2653 0.0097  2 F 2.30-2.45
9 Cl 0.0189 0.7585 0.4467  3 Ag 2.58-2.72
10 Cl 0.2415 0.9811 0.0533  3 Ag 2.58-2.72
11 Cl 0.4024 0.5976 0.7500  4 Ag 2.61-2.80
12 Cl 0.5976 0.4024 0.2500  4 Ag 2.61-2.80
13 Cl 0.7585 0.0189 0.9467  3 Ag 2.58-2.72
14 Cl 0.9811 0.2415 0.5533  3 Ag 2.58-2.72
15 F 0.1721 0.4219 0.1077  4 Ag 2.30-2.45
16 F 0.4219 0.1721 0.6077  4 Ag 2.30-2.45
17 F 0.5781 0.8279 0.3923  4 Ag 2.30-2.45
18 F 0.8279 0.5781 0.8923  4 Ag 2.30-2.45

## Properties
**Total magnetization**: 0.0 μB/f.u.
**Uncorrected formation energy**: -0.6562 eV per atom

=====

AgCl2F2: optimized geometry, PBE.

Unit cell a=5.8569 b=5.8569 c=6.4289 alpha=90.00 beta=90.00 gamma=90.00
Closest atoms and distances in Å follow each position.
Sites, in units of the cell vectors:
1 Ag 0.0000 0.0000 0.0000  4 F 2.10
2 Ag 0.5000 0.5000 0.0000  4 F 2.10
3 Cl 0.1206 0.3794 0.5000  1 Cl 2.00
4 Cl 0.3794 0.8794 0.5000  1 Cl 2.00
5 Cl 0.6206 0.1206 0.5000  1 Cl 2.00
6 Cl 0.8794 0.6206 0.5000  1 Cl 2.00
7 F 0.2100 0.7100 0.0000  2 Ag 2.10
8 F 0.2900 0.2100 0.0000  2 Ag 2.10
9 F 0.7100 0.7900 0.0000  2 Ag 2.10
10 F 0.7900 0.2900 0.0000  2 Ag 2.10

## Properties
**Total magnetization**: 0.0 μB/f.u.
**Uncorrected formation energy**: -0.6205 eV per atom